# 1
A relaxed Tl3TcCl6F2 crystal, computed with PBE-GGA.

Lattice parameters (Å, degrees): 15.041 8.183 6.279 90.00 109.06 90.00
Space group C2/m (No. 12)
Inequivalent atoms, fractional coordinates:
Tl  0.000  0.000  0.000 [2 per cell]
Tl  0.250  0.250  0.500 [4 per cell]
Tc  0.000  0.500  0.500 [2 per cell]
Cl  0.094  0.500  0.265 [4 per cell]
Cl  0.097  0.295  0.726 [8 per cell]
F  0.166  0.000  0.313 [4 per cell]

Values from the calculation:
- Uncorrected formation energy: -1.058 eV/atom
- Electronic total energy: -3.749 eV per atom
- Crystal system: monoclinic

***

# 2
A relaxed Si2TcHg crystal, computed with PBE-GGA.

Lattice parameters (Å, degrees): 3.035 3.035 7.599 90.00 92.08 90.00
Space group P2/m (No. 10)
Inequivalent atoms, fractional coordinates:
Si  0.016  0.000  0.178 [2 per cell]
Tc  0.500  0.500  0.000 [1 per cell]
Hg  0.000  0.500  0.500 [1 per cell]

Values from the calculation:
- Uncorrected formation energy: 0.031 eV/atom
- Electronic total energy: -5.348 eV per atom
- Crystal system: monoclinic

***

# 3
A relaxed Tm6MgPb crystal, computed with PBE-GGA.

Lattice parameters (Å, degrees): 5.3987 5.3987 26.9487 90.00 90.00 120.00
Space group R-3m (No. 166, hexagonal axes)
Inequivalent atoms, fractional coordinates:
Tm  0.0000  0.0000  0.1193 [6 per cell]
Tm  0.0000  0.0000  0.2387 [6 per cell]
Tm  0.0000  0.0000  0.3745 [6 per cell]
Mg  0.0000  0.0000  0.5000 [3 per cell]
Pb  0.0000  0.0000  0.0000 [3 per cell]

Values from the calculation:
- Energy of formation: -0.013 eV/atom
- Electronic total energy: -4.030 eV per atom
- Crystal system: trigonal

***

Q: Among the records above, which one has the lowest electronic total energy?
A: Si2TcHg

***

Q: What is the formula in the second record?
A: Si2TcHg

***

Q: Number 1 is which compound?
A: Tl3TcCl6F2